1.
Density functional theory data (PBE-GGA) for a relaxed structure of NaAcB2O6.

abc: 8.5139 10.5806 6.9827
angles: 90.00 116.43 90.00
Last column: nearest neighbours and their distance in Å.
Space group C2/c (No. 15)
Unique sites:
Na 0.0000 0.2145 0.2500 (multiplicity 4)  4 O 2.36-2.64
Ac 0.0000 0.3886 0.7500 (multiplicity 4)  6 O 2.45-2.56
B 0.1837 0.0991 0.6915 (multiplicity 8)  3 O 1.34-1.45
O 0.0864 0.0143 0.0931 (multiplicity 8)  1 B 1.45, 1 O 1.50
O 0.1254 0.2166 0.6265 (multiplicity 8)  1 B 1.34
O 0.1552 0.4345 0.1495 (multiplicity 8)  1 B 1.37

volume	563.3	Å³ per cell
Fermi-level density of states	0.000	states/eV per atom
formation energy without anion corrections	-2.36	eV/atom
spin magnetization	0.000	μB/atom

=====

2.
Density functional theory data (PBE-GGA) for a relaxed structure of Ac4Pb2O.

abc: 5.0725 5.0725 18.7655
angles: 90.00 90.00 90.00
Last column: nearest neighbours and their distance in Å.
Space group I4/mmm (No. 139)
Unique sites:
Ac 0.0000 0.0000 0.1802 (multiplicity 4)  1 O 3.38, 5 Pb 3.45-3.68
Ac 0.0000 0.5000 0.0000 (multiplicity 4)  2 O 2.54
Pb 0.0000 0.0000 0.3638 (multiplicity 4)  9 Ac 3.45-3.68
O 0.0000 0.0000 0.0000 (multiplicity 2)  4 Ac 2.54

volume	482.8	Å³ per cell
Fermi-level density of states	0.782	states/eV per atom
formation energy without anion corrections	-1.09	eV/atom
spin magnetization	0.162	μB/atom

=====

3.
Density functional theory data (PBE-GGA) for a relaxed structure of KTeIO2.

abc: 4.3385 4.3385 6.2772
angles: 90.00 90.00 90.00
Last column: nearest neighbours and their distance in Å.
Space group P4/mmm (No. 123)
Unique sites:
K 0.0000 0.0000 0.0000 (multiplicity 1)  4 I 3.07
Te 0.5000 0.5000 0.5000 (multiplicity 1)  4 O 2.17
I 0.5000 0.5000 0.0000 (multiplicity 1)  4 K 3.07, 2 Te 3.14
O 0.0000 0.5000 0.5000 (multiplicity 2)  2 Te 2.17

volume	118.2	Å³ per cell
Fermi-level density of states	0.140	states/eV per atom
formation energy without anion corrections	-0.71	eV/atom
spin magnetization	0.000	μB/atom

=====

4.
Density functional theory data (PBE-GGA) for a relaxed structure of SrYPb.

abc: 7.6703 7.6703 7.6703
angles: 90.00 90.00 90.00
Last column: nearest neighbours and their distance in Å.
Space group F-43m (No. 216)
Unique sites:
Sr 0.0000 0.0000 0.0000 (multiplicity 4)  4 Pb 3.32
Y 0.0000 0.0000 0.5000 (multiplicity 4)  4 Pb 3.32
Pb 0.2500 0.2500 0.2500 (multiplicity 4)  4 Sr 3.32, 4 Y 3.32

volume	451.3	Å³ per cell
Fermi-level density of states	0.730	states/eV per atom
E_form	-266	meV per atom
spin magnetization	0.000	μB/atom